Entry 1:
Sc2AlIr after structural relaxation. Source: Alexandria via LeMat-Bulk, functional PBE.

As for the distance to the lowest polymorph of the same formula: 0.493 eV per atom. Its total energy is -6.58 eV per atom.

It has space group R3m (No. 160, hexagonal axes), with a = 3.1200 Å, b = 3.1200 Å, c = 27.2484 Å, α = 90.00°, β = 90.00° and γ = 120.00°. The inequivalent atoms are Sc at (0.0000, 0.0000, 0.0000), Sc at (0.0000, 0.0000, 0.2333), Al at (0.0000, 0.0000, 0.7550) and Ir at (0.0000, 0.0000, 0.4897).

---

Entry 2:
ZnFeTc2 after structural relaxation. Source: Alexandria via LeMat-Bulk, functional PBE.

Its total energy is -7.55 eV per atom.

It has space group R3m (No. 160, hexagonal axes), with a = 2.7158 Å, b = 2.7158 Å, c = 26.2285 Å, α = 90.00°, β = 90.00° and γ = 120.00°. The inequivalent atoms are Zn at (0.0000, 0.0000, 0.0000), Fe at (0.0000, 0.0000, 0.2526), Tc at (0.0000, 0.0000, 0.5019) and Tc at (0.0000, 0.0000, 0.7546).

---

Entry 3:
AcTb2Hg after structural relaxation. Source: Alexandria via LeMat-Bulk, functional PBE.

As for the distance to the lowest polymorph of the same formula: 0.088 eV per atom. Its total energy is -3.54 eV per atom.

It has space group R3m (No. 160, hexagonal axes), with a = 3.7861 Å, b = 3.7861 Å, c = 32.3251 Å, α = 90.00°, β = 90.00° and γ = 120.00°. The inequivalent atoms are Ac at (0.0000, 0.0000, 0.0000), Tb at (0.0000, 0.0000, 0.5706), Tb at (0.0000, 0.0000, 0.7623) and Hg at (0.0000, 0.0000, 0.1662).

---

Entry 4:
ScPaTaMo after structural relaxation. Source: Alexandria via LeMat-Bulk, functional PBE.

Its total energy is -9.51 eV per atom.

It has space group F-43m (No. 216), with a = 6.816 Å, b = 6.816 Å, c = 6.816 Å, α = 90.00°, β = 90.00° and γ = 90.00°. The inequivalent atoms are Sc at (0.000, 0.000, 0.000), Pa at (0.000, 0.000, 0.500), Ta at (0.250, 0.250, 0.250) and Mo at (0.250, 0.250, 0.750).

---

Entry 5:
BaCd after structural relaxation. Source: Alexandria via LeMat-Bulk, functional PBE.

Its total energy is -1.67 eV per atom.

It has space group Imma (No. 74), with a = 4.168 Å, b = 5.958 Å, c = 12.143 Å, α = 90.00°, β = 90.00° and γ = 90.00°. The inequivalent atoms are Ba at (0.000, 0.250, 0.098) and Cd at (0.000, 0.250, 0.660).

---

| no. | energy relative to the elements (meV/atom) |
| --- | --- |
| 1 | -259 |
| 2 | 72 |
| 3 | -119 |
| 4 | 114 |
| 5 | -250 |